# Tm8GeSe3S3 | Alexandria via LeMat-Bulk | PBE | relaxed
data_Tm8GeSe3S3
_cell_length_a 7.8267
_cell_length_b 7.8267
_cell_length_c 19.4846
_cell_angle_alpha 90.00
_cell_angle_beta 90.00
_cell_angle_gamma 120.00
_space_group_name_H-M_alt 'R -3 m'
_space_group_IT_number 166
_space_group_name_Hall '-R 3 2"'
loop_
_atom_site_label
_atom_site_type_symbol
_atom_site_fract_x
_atom_site_fract_y
_atom_site_fract_z
Tm1 Tm 0.0000 0.0000 0.2419
Tm2 Tm 0.0079 0.5039 0.7542
Ge1 Ge 0.0000 0.0000 0.5000
Se1 Se 0.0000 0.5000 0.0000
S1 S 0.0000 0.5000 0.5000
# Uncorrected formation energy   -23.8 eV/f.u.
# Final energy   -5.800 eV per atom
# M_tot   0.00 μB/cell
# Density   8.47 g cm⁻³
# Calculated volume   23.0 A^3/atom